Entry 1:
Tb4Tl2I5: relaxed, PBE-GGA.

The space group is C2/m (No. 12) and the conventional cell measures 21.7784, 3.9516 and 10.1573 Å, with angles of 90.00, 102.93 and 90.00 degrees. The asymmetric unit holds Tb at (0.0530, 0.0000, 0.2778), Tb at (0.0668, 0.5000, 0.6064), Tl at (0.1252, 0.0000, 0.8592), I at (0.0000, 0.5000, 0.0000), I at (0.1648, 0.0000, 0.5315) and I at (0.1710, 0.0000, 0.1670).

The calculation puts the theoretical density at 6.54 g/cm³. The formation energy from raw total energies comes out at -582 meV per atom.

=====

Entry 2:
CrIr2Au: relaxed, PBE-GGA.

The space group is I-42d (No. 122) and the conventional cell measures 7.0093, 7.0093 and 5.2816 Å, with angles of 90.00, 90.00 and 90.00 degrees. The asymmetric unit holds Cr at (0.0000, 0.0000, 0.0000), Ir at (0.1989, 0.2500, 0.1250) and Au at (0.0000, 0.0000, 0.5000).

The calculation puts the theoretical density at 16.21 g/cm³. The calculation puts the calculated formation energy at 0.4586 eV/atom. Its energy above the lowest structure with this stoichiometry is 435 meV/atom.